Below is an optimized crystal structure of CsSb2Au3, with properties calculated at the PBE level.

Unit cell a=6.991 b=7.156 c=7.159 alpha=99.01 beta=90.00 gamma=90.00
Fractional coordinates of all 12 atoms:
Au 0.750 0.712 0.484
Au 0.750 0.019 0.785
Sb 0.500 0.328 0.825
Cs 0.750 0.187 0.309
Au 0.250 0.981 0.215
Au 0.250 0.288 0.516
Au 0.750 0.647 0.857
Sb 0.000 0.328 0.825
Au 0.250 0.353 0.143
Sb 0.500 0.672 0.175
Sb 0.000 0.672 0.175
Cs 0.250 0.813 0.691

## Properties
- Final energy: -0.1235 Ha/atom
- ΔE to the lowest computed polymorph: 0 meV per atom
- Total magnetic moment: 0.00 μB/f.u.